Entry 1:
PBE La3RuPt, relaxed; total magnetic moment = 0.0 μB/cell; total DFT energy (no corrections) = -6.659 eV per atom; energy of formation from the pure elements = -0.6397 eV per atom; space group = P2_1/c (14); DOS(E_F) = 16.01 states/eV/cell
1.0
8.877 0.000 0.000
0.000 7.594 0.000
-2.425 0.000 8.323
La Ru Pt
12 4 4
direct
0.041 0.010 0.220 La
0.041 0.490 0.720 La
0.283 0.661 0.103 La
0.283 0.839 0.603 La
0.347 0.195 0.012 La
0.347 0.305 0.512 La
0.653 0.695 0.488 La
0.653 0.805 0.988 La
0.717 0.161 0.397 La
0.717 0.339 0.897 La
0.959 0.510 0.280 La
0.959 0.990 0.780 La
0.052 0.192 0.513 Ru
0.052 0.308 0.013 Ru
0.948 0.692 0.987 Ru
0.948 0.808 0.487 Ru
0.403 0.532 0.816 Pt
0.403 0.968 0.316 Pt
0.597 0.032 0.684 Pt
0.597 0.468 0.184 Pt

Entry 2:
PBE Be2AlHg, relaxed; total magnetic moment = 0.0 μB/cell; total DFT energy (no corrections) = -2.488 eV per atom; energy of formation from the pure elements = 0.3858 eV per atom; space group = Imm2 (44); DOS(E_F) = 1.11 states/eV/cell
1.0
-1.359 1.969 5.598
1.359 -1.969 5.598
1.359 1.969 -5.598
Be Al Hg
2 1 1
direct
0.000 0.000 0.000 Be
0.835 0.335 0.500 Be
0.485 0.485 0.000 Al
0.214 0.714 0.500 Hg

Entry 3:
PBE Cs12Au5I2, relaxed; total magnetic moment = 1.0 μB/cell; total DFT energy (no corrections) = -2.029 eV per atom; space group = C2/m (12); formation energy (no corrections) = -0.465 eV/atom; DOS(E_F) = 11.72 states/eV/cell
1.0
9.626 -5.040 0.000
9.626 5.040 0.000
-2.751 0.000 12.857
Cs Au I
12 5 2
direct
0.058 0.560 0.342 Cs
0.068 0.068 0.335 Cs
0.115 0.623 0.008 Cs
0.377 0.885 0.992 Cs
0.424 0.424 0.702 Cs
0.440 0.942 0.658 Cs
0.560 0.058 0.342 Cs
0.576 0.576 0.298 Cs
0.623 0.115 0.008 Cs
0.885 0.377 0.992 Cs
0.932 0.932 0.665 Cs
0.942 0.440 0.658 Cs
0.247 0.247 0.864 Au
0.248 0.248 0.501 Au
0.500 0.500 0.000 Au
0.752 0.752 0.499 Au
0.753 0.753 0.136 Au
0.266 0.734 0.500 I
0.734 0.266 0.500 I